No. 1
Below is an optimized crystal structure of MgIn2Te, with properties calculated at the PBE level.

Calculated values
- DOS at the Fermi energy: 1.7 states/eV/f.u.
- Calculated density: 5.71 g/cm3
- Formation energy from raw total energies: -0.27 eV per formula unit
- Total magnetic moment: 0.0 Bohr magnetons per cell
- E above lowest polymorph: 0.117 eV/atom
- SG: No. 35
- Energy: -2.621 eV per atom

a b c (Å): 4.4630 4.9563 10.0301
angles (deg): 90.00 90.00 90.00
Element x y z (fractional)
Mg (0.0000, 0.0000, 0.0000)
Mg (0.5000, 0.5000, 0.0000)
In (0.0000, 0.0000, 0.4733)
In (0.0000, 0.5000, 0.2197)
In (0.5000, 0.0000, 0.2197)
In (0.5000, 0.5000, 0.4733)
Te (0.0000, 0.5000, 0.8005)
Te (0.5000, 0.0000, 0.8005)

***

No. 2
Below is an optimized crystal structure of MgIn2Te, with properties calculated at the PBE level.

Calculated values
- DOS at the Fermi energy: 1.6 states/eV/f.u.
- Calculated density: 5.45 g/cm3
- Formation energy from raw total energies: -0.31 eV per formula unit
- Total magnetic moment: 0.0 Bohr magnetons per cell
- E above lowest polymorph: 0.106 eV/atom
- SG: No. 166
- Energy: -2.632 eV per atom

a b c (Å): 4.0644 4.0644 24.3920
angles (deg): 90.00 90.00 120.00
Element x y z (fractional)
Mg (0.0000, 0.0000, 0.0000)
Mg (0.3333, 0.6667, 0.6667)
Mg (0.6667, 0.3333, 0.3333)
In (0.0000, 0.0000, 0.2488)
In (0.0000, 0.0000, 0.7512)
In (0.3333, 0.6667, 0.4179)
In (0.3333, 0.6667, 0.9155)
In (0.6667, 0.3333, 0.0845)
In (0.6667, 0.3333, 0.5821)
Te (0.0000, 0.0000, 0.5000)
Te (0.3333, 0.6667, 0.1667)
Te (0.6667, 0.3333, 0.8333)

***

No. 3
Below is an optimized crystal structure of MgIn2Te, with properties calculated at the PBE level.

Calculated values
- DOS at the Fermi energy: 1.0 states/eV/f.u.
- Calculated density: 4.09 g/cm3
- Formation energy from raw total energies: 0.27 eV per formula unit
- Total magnetic moment: 0.0 Bohr magnetons per cell
- E above lowest polymorph: 0.252 eV/atom
- SG: No. 122
- Energy: -2.486 eV per atom

a b c (Å): 7.2514 7.2514 11.7760
angles (deg): 90.00 90.00 90.00
Element x y z (fractional)
Mg (0.0000, 0.0000, 0.0000)
Mg (0.0000, 0.5000, 0.2500)
Mg (0.5000, 0.0000, 0.7500)
Mg (0.5000, 0.5000, 0.5000)
In (0.2431, 0.2500, 0.1250)
In (0.2500, 0.7431, 0.3750)
In (0.2500, 0.7569, 0.8750)
In (0.2569, 0.2500, 0.6250)
In (0.7431, 0.7500, 0.6250)
In (0.7500, 0.2431, 0.8750)
In (0.7500, 0.2569, 0.3750)
In (0.7569, 0.7500, 0.1250)
Te (0.0000, 0.0000, 0.5000)
Te (0.0000, 0.5000, 0.7500)
Te (0.5000, 0.0000, 0.2500)
Te (0.5000, 0.5000, 0.0000)

***

What did the third record say?
Below is an optimized crystal structure of MgIn2Te, with properties calculated at the PBE level.

Calculated values
- DOS at the Fermi energy: 1.0 states/eV/f.u.
- Calculated density: 4.09 g/cm3
- Formation energy from raw total energies: 0.27 eV per formula unit
- Total magnetic moment: 0.0 Bohr magnetons per cell
- E above lowest polymorph: 0.252 eV/atom
- SG: No. 122
- Energy: -2.486 eV per atom

a b c (Å): 7.2514 7.2514 11.7760
angles (deg): 90.00 90.00 90.00
Element x y z (fractional)
Mg (0.0000, 0.0000, 0.0000)
Mg (0.0000, 0.5000, 0.2500)
Mg (0.5000, 0.0000, 0.7500)
Mg (0.5000, 0.5000, 0.5000)
In (0.2431, 0.2500, 0.1250)
In (0.2500, 0.7431, 0.3750)
In (0.2500, 0.7569, 0.8750)
In (0.2569, 0.2500, 0.6250)
In (0.7431, 0.7500, 0.6250)
In (0.7500, 0.2431, 0.8750)
In (0.7500, 0.2569, 0.3750)
In (0.7569, 0.7500, 0.1250)
Te (0.0000, 0.0000, 0.5000)
Te (0.0000, 0.5000, 0.7500)
Te (0.5000, 0.0000, 0.2500)
Te (0.5000, 0.5000, 0.0000)